(1)
The following is a DFT calculation (GGA-PBE) of a relaxed structure of Rb2TiBF6.

Cell: 6.5304 6.5304 6.5304 Å, 125.69 125.69 80.40°
With the nearest neighbours (Å) after each atom.
Element x y z (fractional)
Rb: 0.2500 0.7500 0.5000  12 F 3.03-3.27
Rb: 0.7500 0.2500 0.5000  12 F 3.03-3.27
Ti: 0.0000 0.0000 0.0000  6 F 1.93-1.94
B: 0.5000 0.5000 0.0000  4 F 2.29
F: 0.1948 0.1948 0.0000  1 Ti 1.94
F: 0.2289 0.2289 0.4578  1 Ti 1.93
F: 0.2289 0.7711 0.0000  1 Ti 1.93
F: 0.7711 0.2289 0.0000  1 Ti 1.93
F: 0.7711 0.7711 0.5422  1 Ti 1.93
F: 0.8052 0.8052 0.0000  1 Ti 1.94

Computed properties:
- volume (Å³/f.u.) = 177.2
- density (g/cm3) = 3.2
- uncorrected formation energy (eV/atom) = -2.333

***

(2)
The following is a DFT calculation (GGA-PBE) of a relaxed structure of RbTi2BF.

Cell: 5.0990 5.0990 4.4061 Å, 90.00 90.00 90.00°
With the nearest neighbours (Å) after each atom.
Element x y z (fractional)
Rb: 0.0000 0.0000 0.0000  2 F 2.20
Ti: 0.0000 0.5000 0.0000  2 Rb 2.55
Ti: 0.5000 0.0000 0.0000  2 Rb 2.55
B: 0.5000 0.5000 0.5000  8 Ti 3.37, 4 F 3.61
F: 0.0000 0.0000 0.5000  2 Rb 2.20

Computed properties:
- volume (Å³/f.u.) = 114.6
- density (g/cm3) = 3.1
- uncorrected formation energy (eV/atom) = 1.836

***

(3)
The following is a DFT calculation (GGA-PBE) of a relaxed structure of Rb2TlBF6.

Cell: 6.1378 6.1378 6.1378 Å, 60.00 60.00 60.00°
With the nearest neighbours (Å) after each atom.
Element x y z (fractional)
Rb: 0.2500 0.2500 0.2500  12 F 3.11
Rb: 0.7500 0.7500 0.7500  12 F 3.11
Tl: 0.0000 0.0000 0.0000  6 F 2.69
B: 0.5000 0.5000 0.5000  6 F 1.65
F: 0.3094 0.3094 0.6906  1 B 1.65
F: 0.3094 0.6906 0.3094  1 B 1.65
F: 0.3094 0.6906 0.6906  1 B 1.65
F: 0.6906 0.3094 0.3094  1 B 1.65
F: 0.6906 0.3094 0.6906  1 B 1.65
F: 0.6906 0.6906 0.3094  1 B 1.65

Computed properties:
- volume (Å³/f.u.) = 163.5
- density (g/cm3) = 5.1
- uncorrected formation energy (eV/atom) = -2.357

***

(4)
The following is a DFT calculation (GGA-PBE) of a relaxed structure of RbTl2BF.

Cell: 6.9034 6.9034 5.2671 Å, 90.00 90.00 90.00°
With the nearest neighbours (Å) after each atom.
Element x y z (fractional)
Rb: 0.0000 0.0000 0.0000  2 B 2.63
Tl: 0.0000 0.5000 0.0000  2 Rb 3.45
Tl: 0.5000 0.0000 0.0000  2 Rb 3.45
B: 0.0000 0.0000 0.5000  2 Rb 2.63
F: 0.5000 0.5000 0.5000  8 Tl 4.34

Computed properties:
- volume (Å³/f.u.) = 251.0
- density (g/cm3) = 3.5
- uncorrected formation energy (eV/atom) = 1.082

***

(5)
The following is a DFT calculation (GGA-PBE) of a relaxed structure of Rb2TlBF.

Cell: 6.9772 6.9772 4.8162 Å, 90.00 90.00 90.00°
With the nearest neighbours (Å) after each atom.
Element x y z (fractional)
Rb: 0.0000 0.5000 0.0000  2 Tl 3.49
Rb: 0.5000 0.0000 0.0000  2 Tl 3.49
Tl: 0.0000 0.0000 0.0000  2 F 2.41
B: 0.5000 0.5000 0.5000  8 Rb 4.24
F: 0.0000 0.0000 0.5000  2 Tl 2.41

Computed properties:
- volume (Å³/f.u.) = 234.5
- density (g/cm3) = 2.9
- uncorrected formation energy (eV/atom) = 0.383

***

(6)
The following is a DFT calculation (GGA-PBE) of a relaxed structure of RbTlB2F8.

Cell: 5.1643 5.1643 8.7184 Å, 90.00 90.00 120.00°
With the nearest neighbours (Å) after each atom.
Element x y z (fractional)
Rb: 0.0000 0.0000 0.0000  12 F 3.12
Tl: 0.0000 0.0000 0.5000  6 F 3.07
B: 0.3333 0.6667 0.2505  4 F 1.41-1.45
B: 0.6667 0.3333 0.7495  4 F 1.41-1.45
F: 0.0352 0.5176 0.1991  1 B 1.41
F: 0.3333 0.6667 0.4169  1 B 1.45
F: 0.4824 0.5176 0.1991  1 B 1.41
F: 0.4824 0.9648 0.1991  1 B 1.41
F: 0.5176 0.0352 0.8009  1 B 1.41
F: 0.5176 0.4824 0.8009  1 B 1.41
F: 0.6667 0.3333 0.5831  1 B 1.45
F: 0.9648 0.4824 0.8009  1 B 1.41

Computed properties:
- volume (Å³/f.u.) = 201.4
- density (g/cm3) = 3.8
- uncorrected formation energy (eV/atom) = -2.788